Record 1
Compound: GdCuGeTeS2
Source: OQMD
Functional: PBE
Structure: relaxed

Unit cell a=6.858 b=6.858 c=10.962 alpha=90.00 beta=90.00 gamma=146.86
Positions (direct):
1 S 0.132 0.868 0.082
2 Cu 0.976 0.024 0.750
3 Te 0.614 0.386 0.750
4 Gd 0.500 0.500 0.000
5 Ge 0.696 0.304 0.250
6 Ge 0.304 0.696 0.750
7 Gd 0.500 0.500 0.500
8 Te 0.386 0.614 0.250
9 Cu 0.024 0.976 0.250
10 S 0.868 0.132 0.918
11 S 0.868 0.132 0.582
12 S 0.132 0.868 0.418

Values from the calculation:
Energy in eV/cell: -58.30
SG: No. 63

***

Record 2
Compound: GdSc2Cu4Ge4
Source: OQMD
Functional: PBE
Structure: relaxed

Unit cell a=7.824 b=7.824 c=7.824 alpha=150.03 beta=129.20 gamma=60.11
Positions (direct):
1 Ge 0.314 0.500 0.814
2 Ge 0.778 0.778 0.000
3 Sc 0.373 0.873 0.500
4 Cu 0.979 0.671 0.308
5 Gd 0.000 0.000 0.000
6 Ge 0.686 0.500 0.186
7 Cu 0.636 0.329 0.308
8 Cu 0.021 0.329 0.692
9 Sc 0.627 0.127 0.500
10 Ge 0.222 0.222 0.000
11 Cu 0.364 0.671 0.692

Values from the calculation:
Energy in eV/cell: -57.26
SG: No. 71

***

Record 3
Compound: Gd3CuGeSe7
Source: OQMD
Functional: PBE
Structure: relaxed

Unit cell a=10.435 b=10.435 c=6.090 alpha=90.00 beta=90.00 gamma=120.00
Positions (direct):
1 Gd 0.645 0.777 0.749
2 Se 0.667 0.333 0.445
3 Se 0.333 0.667 0.945
4 Se 0.423 0.517 0.498
5 Gd 0.867 0.645 0.249
6 Ge 0.333 0.667 0.333
7 Se 0.261 0.162 0.724
8 Se 0.739 0.838 0.224
9 Se 0.517 0.094 0.998
10 Gd 0.133 0.355 0.749
11 Se 0.094 0.577 0.498
12 Gd 0.777 0.133 0.249
13 Gd 0.355 0.223 0.249
14 Gd 0.223 0.867 0.749
15 Se 0.577 0.483 0.998
16 Se 0.906 0.423 0.998
17 Se 0.901 0.739 0.724
18 Se 0.838 0.099 0.724
19 Se 0.483 0.906 0.498
20 Cu 0.000 0.000 0.213
21 Se 0.099 0.261 0.224
22 Cu 0.000 0.000 0.713
23 Ge 0.667 0.333 0.833
24 Se 0.162 0.901 0.224

Values from the calculation:
Energy in eV/cell: -124.34
SG: No. 173

***

Record 4
Compound: GdCuGeTeSe2
Source: OQMD
Functional: PBE
Structure: relaxed

Unit cell a=7.008 b=7.008 c=11.132 alpha=90.00 beta=90.00 gamma=146.89
Positions (direct):
1 Se 0.143 0.857 0.076
2 Se 0.857 0.143 0.924
3 Te 0.603 0.397 0.750
4 Se 0.857 0.143 0.576
5 Cu 0.028 0.972 0.250
6 Te 0.397 0.603 0.250
7 Se 0.143 0.857 0.424
8 Gd 0.500 0.500 0.500
9 Cu 0.972 0.028 0.750
10 Gd 0.500 0.500 0.000
11 Ge 0.700 0.300 0.250
12 Ge 0.300 0.700 0.750

Values from the calculation:
Energy in eV/cell: -55.14
SG: No. 63

***

Record 5
Compound: GdCuGeTe2Se
Source: OQMD
Functional: PBE
Structure: relaxed

Unit cell a=7.414 b=7.414 c=10.586 alpha=90.00 beta=90.00 gamma=147.96
Positions (direct):
1 Te 0.654 0.346 0.072
2 Se 0.919 0.081 0.250
3 Cu 0.520 0.480 0.250
4 Ge 0.236 0.764 0.250
5 Se 0.081 0.919 0.750
6 Te 0.346 0.654 0.928
7 Te 0.654 0.346 0.428
8 Te 0.346 0.654 0.572
9 Gd 0.000 0.000 0.000
10 Gd 0.000 0.000 0.500
11 Ge 0.764 0.236 0.750
12 Cu 0.480 0.520 0.750

Values from the calculation:
Energy in eV/cell: -53.01
SG: No. 63

***

Record 6
Compound: Sm2GdCu4Ge4
Source: OQMD
Functional: PBE
Structure: relaxed

Unit cell a=8.109 b=8.109 c=8.109 alpha=149.43 beta=131.32 gamma=58.59
Positions (direct):
1 Cu 0.020 0.332 0.688
2 Gd 0.000 0.000 0.000
3 Sm 0.369 0.869 0.500
4 Ge 0.307 0.500 0.807
5 Ge 0.784 0.784 0.000
6 Cu 0.644 0.332 0.312
7 Cu 0.356 0.668 0.688
8 Ge 0.693 0.500 0.193
9 Ge 0.216 0.216 0.000
10 Sm 0.631 0.131 0.500
11 Cu 0.980 0.668 0.312

Values from the calculation:
Energy in eV/cell: -54.32
SG: No. 71

***

Record 7
Compound: SmGdCu2Ge2
Source: OQMD
Functional: PBE
Structure: relaxed

Unit cell a=4.274 b=4.274 c=7.523 alpha=90.00 beta=90.00 gamma=120.00
Positions (direct):
1 Ge 0.333 0.667 0.516
2 Sm 0.000 0.000 0.247
3 Ge 0.667 0.333 0.012
4 Gd 0.000 0.000 0.747
5 Cu 0.667 0.333 0.481
6 Cu 0.333 0.667 0.977

Values from the calculation:
Energy in eV/cell: -30.14
SG: No. 156

***

Record 8
Compound: Gd2Cu2SnGe
Source: OQMD
Functional: PBE
Structure: relaxed

Unit cell a=4.395 b=4.395 c=7.599 alpha=90.00 beta=90.00 gamma=120.00
Positions (direct):
1 Cu 0.333 0.667 0.743
2 Ge 0.333 0.667 0.251
3 Sn 0.000 0.000 0.750
4 Gd 0.667 0.333 0.007
5 Cu 0.000 0.000 0.244
6 Gd 0.667 0.333 0.488

Values from the calculation:
Energy in eV/cell: -29.02
SG: No. 156